RbTiB3 | GGA-PBE | optimized geometry

Output
- ΔH_f (0 K) (eV per atom) = 3.308
- magnetic moment (μB per formula unit) = 1.25
- DFT total energy (eV per atom) = -2.47
- crystal system = cubic
- symmetry = No. 221
- ΔE to the lowest computed polymorph (eV/atom) = 1.816

Cell lengths 4.4118, 4.4118, 4.4118 Å; angles 90.00, 90.00, 90.00 degrees
Last column: nearest neighbours and their distance in Å.
Fractional positions:
Rb  0.0000  0.0000  0.0000  6 B 2.21
Ti  0.5000  0.5000  0.5000  12 B 3.12
B  0.0000  0.0000  0.5000  2 Rb 2.21
B  0.0000  0.5000  0.0000  2 Rb 2.21
B  0.5000  0.0000  0.0000  2 Rb 2.21